Below is a geometry-optimized AlV6Ge structure, with properties calculated at the PBE level.

Values from the calculation:
V = 109 Å³/f.u.
Size of the total moment = 0.0126 μB/atom
Energy of formation = -0.235 eV/atom

a = 4.7811 Å, b = 4.7811 Å, c = 4.7811 Å
α = 90.00°, β = 90.00°, γ = 90.00°
Last column: nearest neighbours and their distance in Å.
Fractional positions:
Al1 0.0000 0.0000 0.0000  12 V 2.67
V1 0.0000 0.2508 0.5000  2 V 2.38-2.40
V2 0.0000 0.7492 0.5000  2 V 2.38-2.40
V3 0.2508 0.5000 0.0000  2 V 2.38-2.40
V4 0.5000 0.0000 0.2508  2 V 2.38-2.40
V5 0.5000 0.0000 0.7492  2 V 2.38-2.40
V6 0.7492 0.5000 0.0000  2 V 2.38-2.40
Ge1 0.5000 0.5000 0.5000  12 V 2.67

***

Below is a geometry-optimized AlV2GeW structure, with properties calculated at the PBE level.

Values from the calculation:
V = 86 Å³/f.u.
Size of the total moment = 0.0039 μB/atom
Energy of formation = 1.592 eV/atom

a = 4.4381 Å, b = 4.4381 Å, c = 4.3696 Å
α = 90.00°, β = 90.00°, γ = 90.00°
Last column: nearest neighbours and their distance in Å.
Fractional positions:
Al1 0.0000 0.0000 0.0000  2 Ge 2.18, 4 V 2.22
V1 0.0000 0.5000 0.0000  2 Al 2.22
V2 0.5000 0.0000 0.0000  2 Al 2.22
Ge1 0.0000 0.0000 0.5000  2 Al 2.18
W1 0.5000 0.5000 0.5000  8 V 3.11, 4 Ge 3.14

***

Below is a geometry-optimized Al4Ge2W3 structure, with properties calculated at the PBE level.

Values from the calculation:
V = 138 Å³/f.u.
Size of the total moment = 0.0000 μB/atom
Energy of formation = -0.106 eV/atom

a = 4.8617 Å, b = 4.8617 Å, c = 6.7364 Å
α = 90.05°, β = 90.05°, γ = 120.05°
Last column: nearest neighbours and their distance in Å.
Fractional positions:
Al1 0.0000 0.0000 0.0000  2 Ge 2.64, 5 W 2.69-2.81, 3 Al 2.80-2.81
Al2 0.4690 0.0062 0.6693  1 Al 2.62, 5 W 2.65-2.86, 4 Ge 2.67-2.84
Al3 0.6671 0.3329 0.0000  5 Al 2.62-2.81, 5 W 2.70-2.81
Al4 0.9938 0.5310 0.3307  1 Al 2.62, 5 W 2.65-2.86, 4 Ge 2.67-2.84
Ge1 0.1244 0.3358 0.6701  5 W 2.63-2.82, 5 Al 2.64-2.84
Ge2 0.6642 0.8756 0.3299  5 W 2.63-2.82, 5 Al 2.64-2.84
W1 0.3332 0.2098 0.3399  4 Ge 2.64-2.82, 6 Al 2.65-2.86
W2 0.3332 0.6668 0.0000  2 Ge 2.63, 8 Al 2.65-2.81
W3 0.7902 0.6668 0.6601  4 Ge 2.64-2.82, 6 Al 2.65-2.86

***

What is the formula in the third record?
Al4Ge2W3

***

Look up the size of the total moment of the first one.
0.0126 μB/atom

***

The lowest V belongs to which entry?
AlV2GeW

***

Look up the energy of formation of the second one.
1.592 eV/atom